1.
## Sn2SbC (GGA-PBE)

Data for a relaxed Sn2SbC crystal.

Output
DOS at the Fermi energy: 2.7 states/eV per cell
calculated volume: 90 Å³ per cell
E above lowest polymorph: 714 meV/atom
crystal system: cubic
total DFT energy (no corrections): -3.9530 eV/atom
size of the total moment: 0.000 μB per cell
raw formation energy: 1385 meV/atom

a b c (Å): 5.022 5.022 5.022
angles (deg): 60.00 60.00 60.00
Sites, in units of the cell vectors:
Sn 0.250 0.250 0.250
Sn 0.750 0.750 0.750
Sb 0.000 0.000 0.000
C 0.500 0.500 0.500


2.
## MgPRu (GGA-PBE)

Data for a relaxed MgPRu crystal.

Output
DOS at the Fermi energy: 4.3 states/eV per cell
calculated volume: 93 Å³ per cell
crystal system: orthorhombic
total DFT energy (no corrections): -5.8906 eV/atom
size of the total moment: 0.000 μB per cell

a b c (Å): 5.412 5.412 5.839
angles (deg): 90.00 90.00 147.10
Sites, in units of the cell vectors:
Mg 0.179 0.821 0.500
Mg 0.821 0.179 0.000
P 0.110 0.890 0.045
P 0.890 0.110 0.545
Ru 0.484 0.516 0.279
Ru 0.516 0.484 0.779


3.
## Ce8CdHg2 (GGA-PBE)

Data for a relaxed Ce8CdHg2 crystal.

Output
DOS at the Fermi energy: 31.0 states/eV per cell
calculated volume: 295 Å³ per cell
crystal system: triclinic
total DFT energy (no corrections): -4.4963 eV/atom
size of the total moment: 3.928 μB per cell

a b c (Å): 5.314 7.644 8.078
angles (deg): 78.08 72.54 71.79
Sites, in units of the cell vectors:
Ce 0.004 0.208 0.257
Ce 0.165 0.833 0.297
Ce 0.332 0.459 0.418
Ce 0.349 0.848 0.924
Ce 0.651 0.152 0.076
Ce 0.668 0.541 0.582
Ce 0.835 0.167 0.703
Ce 0.996 0.792 0.743
Cd 0.500 0.000 0.500
Hg 0.177 0.347 0.847
Hg 0.823 0.653 0.153


4.
## CaRu2Pb2 (GGA-PBE)

Data for a relaxed CaRu2Pb2 crystal.

Output
DOS at the Fermi energy: 6.6 states/eV per cell
calculated volume: 118 Å³ per cell
E above lowest polymorph: 0 meV/atom
crystal system: tetragonal
total DFT energy (no corrections): -5.4249 eV/atom
size of the total moment: 0.000 μB per cell

a b c (Å): 6.163 6.163 6.163
angles (deg): 134.36 134.36 66.52
Sites, in units of the cell vectors:
Ca 0.000 0.000 0.000
Ru 0.387 0.387 0.000
Ru 0.613 0.613 0.000
Pb 0.250 0.750 0.500
Pb 0.750 0.250 0.500


5.
## NaLi2Eu (GGA-PBE)

Data for a relaxed NaLi2Eu crystal.

Output
DOS at the Fermi energy: 7.8 states/eV per cell
calculated volume: 122 Å³ per cell
E above lowest polymorph: 0 meV/atom
crystal system: tetragonal
total DFT energy (no corrections): -3.7777 eV/atom
size of the total moment: 7.739 μB per cell

a b c (Å): 3.785 3.785 8.515
angles (deg): 90.00 90.00 90.00
Sites, in units of the cell vectors:
Na 0.000 0.000 0.000
Li 0.500 0.500 0.223
Li 0.500 0.500 0.777
Eu 0.000 0.000 0.500


6.
## LiTiBr4 (GGA-PBE)

Data for a relaxed LiTiBr4 crystal.

Output
DOS at the Fermi energy: 5.2 states/eV per cell
calculated volume: 363 Å³ per cell
E above lowest polymorph: 69 meV/atom
crystal system: monoclinic
total DFT energy (no corrections): -3.9750 eV/atom
size of the total moment: 2.000 μB per cell
raw formation energy: -1225 meV/atom

a b c (Å): 8.795 8.795 8.549
angles (deg): 106.77 106.77 35.21
Sites, in units of the cell vectors:
Li 0.227 0.227 0.332
Li 0.773 0.773 0.668
Ti 0.106 0.106 0.688
Ti 0.894 0.894 0.312
Br 0.057 0.057 0.363
Br 0.135 0.135 0.983
Br 0.260 0.260 0.669
Br 0.381 0.381 0.322
Br 0.619 0.619 0.678
Br 0.740 0.740 0.331
Br 0.865 0.865 0.017
Br 0.943 0.943 0.637


7.
## Pm5As4C (GGA-PBE)

Data for a relaxed Pm5As4C crystal.

Output
DOS at the Fermi energy: 4.6 states/eV per cell
calculated volume: 253 Å³ per cell
crystal system: tetragonal
total DFT energy (no corrections): -6.2635 eV/atom
size of the total moment: 0.000 μB per cell

a b c (Å): 7.170 7.170 7.170
angles (deg): 99.88 99.88 131.07
Sites, in units of the cell vectors:
Pm 0.000 0.000 0.000
Pm 0.258 0.629 0.816
Pm 0.442 0.258 0.629
Pm 0.629 0.813 0.371
Pm 0.813 0.442 0.184
As 0.132 0.341 0.396
As 0.341 0.945 0.210
As 0.735 0.132 0.790
As 0.945 0.735 0.604
C 0.577 0.577 0.000


8.
## Tb2CuNi3P4 (GGA-PBE)

Data for a relaxed Tb2CuNi3P4 crystal.

Output
DOS at the Fermi energy: 2.7 states/eV per cell
calculated volume: 147 Å³ per cell
crystal system: tetragonal
total DFT energy (no corrections): -6.1594 eV/atom
size of the total moment: 0.000 μB per cell

a b c (Å): 4.009 4.009 9.152
angles (deg): 90.00 90.00 90.00
Sites, in units of the cell vectors:
Tb 0.000 0.500 0.245
Tb 0.500 0.000 0.755
Cu 0.000 0.000 0.500
Ni 0.000 0.500 0.885
Ni 0.500 0.000 0.115
Ni 0.500 0.500 0.500
P 0.000 0.000 0.000
P 0.000 0.500 0.636
P 0.500 0.000 0.364
P 0.500 0.500 0.000


9.
## K3Rb7Pd (GGA-PBE)

Data for a relaxed K3Rb7Pd crystal.

Output
DOS at the Fermi energy: 7.8 states/eV per cell
calculated volume: 853 Å³ per cell
crystal system: monoclinic
total DFT energy (no corrections): -1.3446 eV/atom
size of the total moment: 0.000 μB per cell

a b c (Å): 8.693 8.693 12.724
angles (deg): 106.63 106.63 98.83
Sites, in units of the cell vectors:
K 0.000 0.000 0.000
K 0.551 0.891 0.124
K 0.891 0.551 0.124
Rb 0.107 0.461 0.829
Rb 0.333 0.982 0.423
Rb 0.436 0.436 0.252
Rb 0.461 0.107 0.829
Rb 0.542 0.542 0.690
Rb 0.905 0.905 0.571
Rb 0.982 0.333 0.423
Pd 0.223 0.223 0.627